Record 1
First-principles (PBE) data for a relaxed structure of Rb2TcPdCl6, as listed in Alexandria.

a b c (Å): 7.6586 7.6586 9.0939
angles (deg): 90.00 90.00 90.00
Closest atoms and distances in Å follow each position.
Space group I4/mmm (No. 139)
Inequivalent atoms, fractional coordinates:
Rb 0.0000 0.5000 0.2500  12 Cl 3.55-3.83
Tc 0.0000 0.0000 0.0000  6 Cl 2.30-2.44
Pd 0.0000 0.0000 0.5000  2 Cl 2.25
Cl 0.0000 0.0000 0.2527  1 Pd 2.25, 1 Tc 2.30
Cl 0.2250 0.2250 0.0000  1 Tc 2.44

=====

Record 2
First-principles (PBE) data for a relaxed structure of RbTcPdCl2, as listed in Alexandria.

a b c (Å): 4.9295 4.9295 5.1075
angles (deg): 90.00 90.00 90.00
Closest atoms and distances in Å follow each position.
Space group P4/mmm (No. 123)
Inequivalent atoms, fractional coordinates:
Rb 0.0000 0.0000 0.0000  4 Pd 3.49, 8 Cl 3.55
Tc 0.5000 0.5000 0.5000  4 Cl 2.46, 2 Pd 2.55
Pd 0.5000 0.5000 0.0000  2 Tc 2.55
Cl 0.0000 0.5000 0.5000  2 Tc 2.46

=====

Record 3
First-principles (PBE) data for a relaxed structure of RbTcPdCl6, as listed in Alexandria.

a b c (Å): 6.4460 6.4556 7.1150
angles (deg): 93.58 93.88 112.16
Closest atoms and distances in Å follow each position.
Space group P1 (No. 1)
Inequivalent atoms, fractional coordinates:
Rb 0.0000 0.0000 0.0000  6 Cl 3.29-3.45
Tc 0.6108 0.3874 0.4993  6 Cl 2.33-2.45
Pd 0.2666 0.7323 0.4998  4 Cl 2.42-2.46
Cl 0.3145 0.4359 0.2952  1 Tc 2.45, 1 Pd 2.46
Cl 0.3222 0.1030 0.6395  1 Tc 2.39, 1 Pd 2.42
Cl 0.5639 0.6822 0.7044  1 Tc 2.45, 1 Pd 2.46
Cl 0.6268 0.1214 0.2691  1 Tc 2.33
Cl 0.8787 0.3691 0.7281  1 Tc 2.33
Cl 0.8946 0.6767 0.3595  1 Tc 2.39, 1 Pd 2.42

=====

Number 1: VASP energy -77.5 eV for the cell shown, N(E_F) 0.0 states/eV/cell. Number 2: VASP energy -21.2 eV for the cell shown, N(E_F) 3.1 states/eV/cell. Number 3: VASP energy -35.3 eV for the cell shown, N(E_F) 1.1 states/eV/cell.